## CaZnCd3 (PBE)

Data for a relaxed structure of CaZnCd3.

Values from the calculation:
Magnetization (μB per atom): 0.000
Space-group type: P6_3/mmc (194)
E above lowest polymorph (meV per atom): 40

Cell: 5.816 6.909 6.908 Å, 120.00 90.00 90.00°
Fractional coordinates of all 10 atoms:
Zn 0.500 0.000 0.000
Zn 0.000 0.000 0.000
Cd 0.750 0.191 0.809
Cd 0.250 0.809 0.191
Cd 0.750 0.617 0.809
Cd 0.250 0.383 0.191
Cd 0.250 0.809 0.617
Cd 0.750 0.191 0.383
Ca 0.750 0.667 0.333
Ca 0.250 0.333 0.667



## Er4PtC2 (PBE)

Data for a relaxed structure of Er4PtC2.

Values from the calculation:
Calculated total energy (eV/atom): -6.6583
Magnetization (μB per atom): 0.001
Space-group type: Cmcm (63)

Cell: 3.637 6.280 12.542 Å, 90.00 90.00 106.83°
Fractional coordinates of all 14 atoms:
C 0.865 0.730 0.939
C 0.865 0.730 0.561
C 0.135 0.270 0.061
C 0.135 0.270 0.439
Er 0.232 0.464 0.607
Er 0.768 0.536 0.393
Er 0.768 0.536 0.107
Er 0.500 0.000 0.000
Er 0.934 0.868 0.750
Er 0.066 0.132 0.250
Er 0.500 0.000 0.500
Er 0.232 0.464 0.893
Pt 0.388 0.776 0.250
Pt 0.612 0.224 0.750